1.
Here is a relaxed Zr2TiAlC crystal from the Alexandria database. Energies are from PBE-GGA.

Cell: 4.549 4.549 4.181 Å, 90.00 90.00 90.00°
Space group P4/mmm (No. 123)
Inequivalent atoms, fractional coordinates:
Zr1 0.000 0.500 0.000 (multiplicity 2)
Ti1 0.000 0.000 0.500 (multiplicity 1)
Al1 0.500 0.500 0.500 (multiplicity 1)
C1 0.000 0.000 0.000 (multiplicity 1)

**E_form**: -51.8 kJ/mol of atoms

=====

2.
Here is a relaxed AlTlC2 crystal from the Alexandria database. Energies are from PBE-GGA.

Cell: 4.830 4.830 10.551 Å, 90.00 90.00 90.00°
Space group I-42d (No. 122)
Inequivalent atoms, fractional coordinates:
Al1 0.000 0.000 0.000 (multiplicity 4)
Tl1 0.000 0.000 0.500 (multiplicity 4)
C1 0.191 0.250 0.125 (multiplicity 8)

**Energy above the lowest structure with this stoichiometry**: 0 kJ/mol of formula units
**E_form**: 123.3 kJ/mol of atoms